[1]
This record from the Alexandria database describes crystalline SrFe2Br at its relaxed geometry. The functional is PBEsol.

abc: 5.5717 11.4024 3.4626
angles: 90.00 128.02 90.00
Last column: nearest neighbours and their distance in Å.
Space group C2/m (No. 12)
Asymmetric unit:
Sr 0.0000 0.0000 0.0000 (multiplicity 2)  4 Br 2.79-2.81
Fe 0.2500 0.2500 0.5000 (multiplicity 4)  4 Fe 2.79-2.81
Br 0.0000 0.5000 0.0000 (multiplicity 2)  4 Sr 2.79-2.81

Crystal system: monoclinic
Uncorrected formation energy (eV/f.u.): 1.88
Excess energy over the best structure of this formula in the dataset (meV/atom): 357


[2]
This record from the Alexandria database describes crystalline CoReBr2 at its relaxed geometry. The functional is PBEsol.

abc: 2.9596 5.5659 8.2034
angles: 90.00 90.00 90.00
Last column: nearest neighbours and their distance in Å.
Space group Cmmm (No. 65)
Asymmetric unit:
Co 0.0000 0.0000 0.0000 (multiplicity 2)  4 Br 2.47
Re 0.0000 0.0000 0.5000 (multiplicity 2)  4 Br 2.58
Br 0.0000 0.5000 0.2418 (multiplicity 4)  2 Co 2.47, 2 Re 2.58

Crystal system: orthorhombic
Uncorrected formation energy (eV/f.u.): 4.46
Excess energy over the best structure of this formula in the dataset (meV/atom): 796


[3]
This record from the Alexandria database describes crystalline ZnH16C6N6O10 at its relaxed geometry. The functional is PBEsol.

abc: 13.8532 9.9793 11.2868
angles: 90.00 115.82 90.00
Last column: nearest neighbours and their distance in Å.
Space group C2/c (No. 15)
Asymmetric unit:
Zn 0.0000 0.1722 0.2500 (multiplicity 4)  6 O 2.09-2.12
H 0.1144 0.1134 0.9171 (multiplicity 8)  1 N 1.03
H 0.1182 0.2765 0.0773 (multiplicity 8)  1 N 1.04
H 0.1200 0.4842 0.3477 (multiplicity 8)  1 N 1.03
H 0.1253 0.4476 0.0429 (multiplicity 8)  1 N 1.03
H 0.1336 0.0547 0.1721 (multiplicity 8)  1 O 1.03
H 0.1376 0.1718 0.7848 (multiplicity 8)  1 N 1.03
H 0.1424 0.3959 0.7452 (multiplicity 8)  1 N 1.03
H 0.2039 0.1610 0.2804 (multiplicity 8)  1 O 1.00
C 0.1157 0.1368 0.5289 (multiplicity 8)  2 O 1.26-1.27
C 0.1218 0.2889 0.5036 (multiplicity 8)  2 O 1.26-1.27
C 0.1252 0.3203 0.9033 (multiplicity 8)  3 N 1.33-1.34
N 0.1087 0.3505 0.0088 (multiplicity 8)  2 H 1.03-1.04
N 0.1289 0.1933 0.8693 (multiplicity 8)  2 H 1.03
N 0.1376 0.4189 0.8312 (multiplicity 8)  2 H 1.03
O 0.0784 0.0623 0.4275 (multiplicity 8)  1 C 1.27
O 0.0783 0.3251 0.3839 (multiplicity 8)  1 C 1.27
O 0.1316 0.1504 0.2040 (multiplicity 8)  2 H 1.00-1.03
O 0.1483 0.0979 0.6460 (multiplicity 8)  1 C 1.26
O 0.1699 0.3668 0.5995 (multiplicity 8)  1 C 1.26

Crystal system: monoclinic
Electronic total energy (eV per atom): -6.335


[4]
This record from the Alexandria database describes crystalline BeHgSb at its relaxed geometry. The functional is PBEsol.

abc: 6.2316 6.2316 6.2316
angles: 90.00 90.00 90.00
Last column: nearest neighbours and their distance in Å.
Space group F-43m (No. 216)
Asymmetric unit:
Be 0.0000 0.0000 0.0000 (multiplicity 4)  4 Hg 2.70, 4 Sb 2.70
Hg 0.2500 0.2500 0.2500 (multiplicity 4)  4 Be 2.70
Sb 0.2500 0.2500 0.7500 (multiplicity 4)  4 Be 2.70

Crystal system: cubic
Uncorrected formation energy (eV/f.u.): 0.72
Excess energy over the best structure of this formula in the dataset (meV/atom): 0


[5]
This record from the Alexandria database describes crystalline ZrCd2MoBr at its relaxed geometry. The functional is PBEsol.

abc: 5.1445 5.1445 4.5399
angles: 90.00 90.00 90.00
Last column: nearest neighbours and their distance in Å.
Space group P4/mmm (No. 123)
Asymmetric unit:
Zr 0.0000 0.0000 0.0000 (multiplicity 1)  8 Cd 3.43, 4 Mo 3.64
Cd 0.0000 0.5000 0.5000 (multiplicity 2)  2 Br 2.57
Mo 0.5000 0.5000 0.0000 (multiplicity 1)  2 Br 2.27
Br 0.5000 0.5000 0.5000 (multiplicity 1)  2 Mo 2.27

Crystal system: tetragonal
Uncorrected formation energy (eV/f.u.): 6.48


[6]
This record from the Alexandria database describes crystalline SmAlGa at its relaxed geometry. The functional is PBEsol.

abc: 4.4425 4.4425 3.6390
angles: 90.00 90.00 120.00
Last column: nearest neighbours and their distance in Å.
Space group P-6m2 (No. 187)
Asymmetric unit:
Sm 0.0000 0.0000 0.0000 (multiplicity 1)  6 Al 3.14, 6 Ga 3.14
Al 0.6667 0.3333 0.5000 (multiplicity 1)  3 Ga 2.56
Ga 0.3333 0.6667 0.5000 (multiplicity 1)  3 Al 2.56

Crystal system: hexagonal
Energy relative to the elements (meV per atom): -613


[7]
This record from the Alexandria database describes crystalline CaTmCd2 at its relaxed geometry. The functional is PBEsol.

abc: 7.3598 7.3598 7.3598
angles: 90.00 90.00 90.00
Last column: nearest neighbours and their distance in Å.
Space group Fm-3m (No. 225)
Asymmetric unit:
Ca 0.0000 0.0000 0.0000 (multiplicity 4)  8 Cd 3.19
Tm 0.0000 0.0000 0.5000 (multiplicity 4)  8 Cd 3.19
Cd 0.2500 0.2500 0.2500 (multiplicity 8)  4 Ca 3.19, 4 Tm 3.19

Crystal system: cubic
Energy relative to the elements (meV per atom): -343


[8]
This record from the Alexandria database describes crystalline AlTlAg at its relaxed geometry. The functional is PBEsol.

abc: 6.3962 6.3962 6.3962
angles: 90.00 90.00 90.00
Last column: nearest neighbours and their distance in Å.
Space group F-43m (No. 216)
Asymmetric unit:
Al 0.0000 0.0000 0.0000 (multiplicity 4)  4 Tl 2.77, 4 Ag 2.77
Tl 0.2500 0.2500 0.2500 (multiplicity 4)  4 Al 2.77
Ag 0.2500 0.2500 0.7500 (multiplicity 4)  4 Al 2.77

Crystal system: cubic
Energy relative to the elements (meV per atom): 209


[9]
This record from the Alexandria database describes crystalline CdBr2F at its relaxed geometry. The functional is PBEsol.

abc: 8.0783 8.0783 5.2388
angles: 90.00 90.00 90.00
Last column: nearest neighbours and their distance in Å.
Space group I-42d (No. 122)
Asymmetric unit:
Cd 0.0000 0.0000 0.0000 (multiplicity 4)  2 F 2.62, 4 Br 2.76
Br 0.2180 0.7500 0.1250 (multiplicity 8)  2 Br 2.67, 2 Cd 2.76
F 0.0000 0.0000 0.5000 (multiplicity 4)  2 Cd 2.62

Crystal system: tetragonal
Uncorrected formation energy (eV/f.u.): -2.79


[10]
This record from the Alexandria database describes crystalline AlS2N2 at its relaxed geometry. The functional is PBEsol.

abc: 3.9071 3.9071 3.7219
angles: 90.00 90.00 90.00
Last column: nearest neighbours and their distance in Å.
Space group P4/mmm (No. 123)
Asymmetric unit:
Al 0.0000 0.0000 0.0000 (multiplicity 1)  8 S 2.70, 4 N 2.76
S 0.0000 0.5000 0.5000 (multiplicity 2)  2 N 1.95
N 0.5000 0.5000 0.0000 (multiplicity 1)  2 N 1.86
N 0.5000 0.5000 0.5000 (multiplicity 1)  2 N 1.86, 4 S 1.95

Crystal system: tetragonal
Uncorrected formation energy (eV/f.u.): 6.03
Excess energy over the best structure of this formula in the dataset (meV/atom): 301


[11]
This record from the Alexandria database describes crystalline YCuSb2 at its relaxed geometry. The functional is PBEsol.

abc: 3.8306 4.1132 6.1284
angles: 90.00 90.00 90.00
Last column: nearest neighbours and their distance in Å.
Space group Pmmm (No. 47)
Asymmetric unit:
Y 0.0000 0.0000 0.0000 (multiplicity 1)  8 Sb 3.19
Cu 0.5000 0.0000 0.5000 (multiplicity 1)  4 Sb 2.57
Sb 0.5000 0.5000 0.2480 (multiplicity 2)  2 Cu 2.57

Crystal system: orthorhombic
Uncorrected formation energy (eV/f.u.): -1.48
Excess energy over the best structure of this formula in the dataset (meV/atom): 297


[12]
This record from the Alexandria database describes crystalline CdCoPb2 at its relaxed geometry. The functional is PBEsol.

abc: 3.1175 4.4294 13.1284
angles: 90.00 90.00 90.00
Last column: nearest neighbours and their distance in Å.
Space group Immm (No. 71)
Asymmetric unit:
Cd 0.0000 0.0000 0.0000 (multiplicity 2)  4 Co 2.71
Co 0.0000 0.0000 0.5000 (multiplicity 2)  4 Cd 2.71, 4 Pb 2.71
Pb 0.0000 0.5000 0.1689 (multiplicity 4)  2 Co 2.71

Crystal system: orthorhombic
Energy relative to the elements (meV per atom): 262


[13]
This record from the Alexandria database describes crystalline Lu2Be2GeO7 at its relaxed geometry. The functional is PBEsol.

abc: 7.2522 7.2522 4.7088
angles: 90.00 90.00 90.00
Last column: nearest neighbours and their distance in Å.
Space group P-42_1m (No. 113)
Asymmetric unit:
Lu 0.1569 0.3431 0.4924 (multiplicity 4)  6 O 2.18-2.38
Be 0.1368 0.6368 0.9476 (multiplicity 4)  4 O 1.56-1.67
Ge 0.0000 0.0000 0.0000 (multiplicity 2)  4 O 1.74
O 0.0000 0.5000 0.8032 (multiplicity 2)  2 Be 1.56
O 0.0839 0.8301 0.7730 (multiplicity 8)  1 Be 1.67, 1 Ge 1.74
O 0.1424 0.6424 0.2838 (multiplicity 4)  1 Be 1.58

Crystal system: tetragonal
Uncorrected formation energy (eV/f.u.): -35.22


[14]
This record from the Alexandria database describes crystalline ReSi2Pb at its relaxed geometry. The functional is PBEsol.

abc: 6.4763 6.4763 6.4763
angles: 90.00 90.00 90.00
Last column: nearest neighbours and their distance in Å.
Space group F-43m (No. 216)
Asymmetric unit:
Re 0.0000 0.0000 0.0000 (multiplicity 4)  4 Pb 2.80, 4 Si 2.80
Si 0.0000 0.0000 0.5000 (multiplicity 4)  4 Pb 2.80, 4 Si 2.80
Si 0.2500 0.2500 0.7500 (multiplicity 4)  4 Re 2.80, 4 Si 2.80
Pb 0.2500 0.2500 0.2500 (multiplicity 4)  4 Re 2.80, 4 Si 2.80

Crystal system: cubic
Uncorrected formation energy (eV/f.u.): 3.70


[15]
This record from the Alexandria database describes crystalline Cd2GaO at its relaxed geometry. The functional is PBEsol.

abc: 6.4590 6.4590 6.4590
angles: 90.00 90.00 90.00
Last column: nearest neighbours and their distance in Å.
Space group Fm-3m (No. 225)
Asymmetric unit:
Cd 0.2500 0.2500 0.2500 (multiplicity 8)  4 O 2.80, 4 Ga 2.80
Ga 0.0000 0.0000 0.0000 (multiplicity 4)  8 Cd 2.80
O 0.0000 0.0000 0.5000 (multiplicity 4)  8 Cd 2.80

Crystal system: cubic
Uncorrected formation energy (eV/f.u.): 0.57


[16]
This record from the Alexandria database describes crystalline Li2CoSiO4 at its relaxed geometry. The functional is PBEsol.

abc: 6.0826 5.3772 4.9159
angles: 90.00 90.00 90.00
Last column: nearest neighbours and their distance in Å.
Space group Pmn2_1 (No. 31)
Asymmetric unit:
Li 0.2482 0.1666 0.0000 (multiplicity 4)  4 O 1.93-1.97
Co 0.0000 0.3386 0.4982 (multiplicity 2)  4 O 1.95-1.97
Si 0.0000 0.6700 0.9935 (multiplicity 2)  4 O 1.65
O 0.0000 0.3790 0.0996 (multiplicity 2)  1 Si 1.65
O 0.0000 0.6703 0.6584 (multiplicity 2)  1 Si 1.65
O 0.2208 0.8183 0.1020 (multiplicity 4)  1 Si 1.65

Crystal system: orthorhombic
Uncorrected formation energy (eV/f.u.): -16.39
Excess energy over the best structure of this formula in the dataset (meV/atom): 5


[17]
This record from the Alexandria database describes crystalline SiRhBr2 at its relaxed geometry. The functional is PBEsol.

abc: 3.4131 3.4131 24.2670
angles: 90.00 90.00 120.00
Last column: nearest neighbours and their distance in Å.
Space group R-3m (No. 166, hexagonal axes)
Asymmetric unit:
Si 0.0000 0.0000 0.0000 (multiplicity 3)  6 Br 3.14, 6 Si 3.41
Rh 0.0000 0.0000 0.5000 (multiplicity 3)  6 Br 2.54
Br 0.0000 0.0000 0.2327 (multiplicity 6)  3 Rh 2.54

Crystal system: trigonal
Uncorrected formation energy (eV/f.u.): 1.80
Excess energy over the best structure of this formula in the dataset (meV/atom): 33


[18]
This record from the Alexandria database describes crystalline Cs3ZnBr5 at its relaxed geometry. The functional is PBEsol.

abc: 9.5124 9.5124 14.9766
angles: 90.00 90.00 90.00
Last column: nearest neighbours and their distance in Å.
Space group I4/mcm (No. 140)
Asymmetric unit:
Cs 0.0000 0.0000 0.2500 (multiplicity 4)  10 Br 3.74-3.92
Cs 0.1602 0.3398 0.0000 (multiplicity 8)  8 Br 3.52-3.71
Zn 0.0000 0.5000 0.2500 (multiplicity 4)  4 Br 2.40
Br 0.0000 0.0000 0.0000 (multiplicity 4)  6 Cs 3.57-3.74
Br 0.1436 0.3564 0.3447 (multiplicity 16)  1 Zn 2.40

Crystal system: tetragonal
Uncorrected formation energy (eV/f.u.): -13.70


[19]
This record from the Alexandria database describes crystalline MnPO4 at its relaxed geometry. The functional is PBEsol.

abc: 5.4763 11.0217 9.1188
angles: 90.00 90.00 90.00
Last column: nearest neighbours and their distance in Å.
Space group Fdd2 (No. 43)
Asymmetric unit:
Mn 0.0000 0.0000 0.0000 (multiplicity 8)  4 O 1.89-1.90
P 0.0000 0.0000 0.6540 (multiplicity 8)  4 O 1.54-1.56
O 0.0554 0.3132 0.8099 (multiplicity 16)  1 P 1.54
O 0.1150 0.4083 0.2649 (multiplicity 16)  1 P 1.56

Crystal system: orthorhombic
Uncorrected formation energy (eV/f.u.): -11.48


[20]
This record from the Alexandria database describes crystalline CsVMo2O8 at its relaxed geometry. The functional is PBEsol.

abc: 5.6647 5.6647 7.9096
angles: 90.00 90.00 120.00
Last column: nearest neighbours and their distance in Å.
Space group P-3m1 (No. 164)
Asymmetric unit:
Cs 0.0000 0.0000 0.0000 (multiplicity 1)  12 O 3.24-3.31
V 0.0000 0.0000 0.5000 (multiplicity 1)  6 O 1.94
Mo 0.3333 0.6667 0.2866 (multiplicity 2)  4 O 1.73-1.78
O 0.1609 0.3217 0.3576 (multiplicity 6)  1 Mo 1.78, 1 V 1.94
O 0.3333 0.6667 0.0684 (multiplicity 2)  1 Mo 1.73

Crystal system: trigonal
Uncorrected formation energy (eV/f.u.): -25.56


[21]
This record from the Alexandria database describes crystalline LiMg2Zn at its relaxed geometry. The functional is PBEsol.

abc: 2.9512 4.4288 5.7503
angles: 90.00 103.09 90.00
Last column: nearest neighbours and their distance in Å.
Space group P2/m (No. 10)
Asymmetric unit:
Li 0.0000 0.0000 0.0000 (multiplicity 1)  4 Mg 2.87, 2 Zn 2.92, 2 Li 2.95
Mg 0.2662 0.5000 0.7427 (multiplicity 2)  2 Zn 2.79, 2 Li 2.87, 4 Mg 2.88-2.97
Zn 0.5000 0.0000 0.5000 (multiplicity 1)  4 Mg 2.79, 2 Li 2.92, 2 Zn 2.95

Crystal system: monoclinic
Energy relative to the elements (meV per atom): -39


[22]
This record from the Alexandria database describes crystalline Fe3Si at its relaxed geometry. The functional is PBEsol.

abc: 5.5228 5.5228 5.5228
angles: 90.00 90.00 90.00
Last column: nearest neighbours and their distance in Å.
Space group Fm-3m (No. 225)
Asymmetric unit:
Fe 0.0000 0.0000 0.0000 (multiplicity 4)  8 Fe 2.39
Fe 0.2500 0.2500 0.2500 (multiplicity 8)  4 Fe 2.39, 4 Si 2.39
Si 0.0000 0.0000 0.5000 (multiplicity 4)  8 Fe 2.39

Crystal system: cubic
Uncorrected formation energy (eV/f.u.): -1.48